FeHgPO2: relaxed, PBE+U.

a b c (Å): 3.7608 3.7608 5.3272
angles (deg): 90.00 90.00 90.00
Atoms (fractional coordinates):
Fe 0.0000 0.0000 0.0000
Hg 0.5000 0.5000 0.5000
P 0.0000 0.0000 0.5000
O 0.0000 0.5000 0.0000
O 0.5000 0.0000 0.0000

Calculated values
- V: 75.3 Å³/cell
- Crystal system: tetragonal
- Calculated total energy: -22.2 eV per cell
- Symmetry: No. 123